DyZn2Ir (GGA-PBE, relaxed); E_form = -1.536 eV/f.u.; magnetization = 0.0 Bohr magnetons per cell; density of states at the Fermi level = 3.5 states/eV/cell
1.0
4.589 0.000 0.000
2.294 3.974 0.000
2.294 1.325 3.747
Ir Zn Dy
1 2 1
Cartesian
4.589 2.649 1.873
6.883 3.974 2.810
2.294 1.325 0.937
0.000 0.000 0.000

=====

DyZn8Ir4 (GGA-PBE, relaxed); E_form = -4.335 eV/f.u.; magnetization = 0.0 Bohr magnetons per cell; density of states at the Fermi level = 4.7 states/eV/cell
1.0
5.215 0.000 2.096
2.608 6.084 1.048
0.338 0.000 6.693
Ir Zn Dy
4 8 1
Cartesian
2.777 0.000 4.395
3.911 3.042 1.572
1.304 3.042 0.524
0.169 0.000 3.347
3.457 1.370 6.470
1.100 2.042 4.799
4.453 2.042 3.991
6.064 4.714 7.519
2.097 1.370 2.319
1.846 4.042 2.943
4.704 4.714 3.367
3.708 4.042 5.847
0.000 0.000 0.000

=====

DyZnIr2 (GGA-PBE, relaxed); E_form = 0.370 eV/f.u.; magnetization = 0.0 Bohr magnetons per cell; density of states at the Fermi level = 8.0 states/eV/cell
1.0
-2.734 -5.804 -3.603
3.950 -3.226 2.198
-5.102 -1.721 6.644
Dy Zn Ir
4 4 8
Cartesian
1.388 -2.950 3.699
0.481 -5.697 1.298
-4.367 -5.054 3.941
-2.540 -1.996 5.143
-0.806 -3.690 6.557
-0.346 -1.256 2.286
-2.152 -6.586 4.728
-1.734 -4.165 0.511
-3.873 -8.154 5.519
-2.767 -5.805 6.977
1.975 -1.613 1.099
-1.119 -4.946 -1.738
0.000 0.000 0.000
-1.943 -5.376 2.620
-0.013 -2.597 -0.280
-3.918 -3.763 1.520

=====

Dy3ZnIr (GGA-PBE, relaxed); E_form = -2.269 eV/f.u.; magnetization = 0.0 Bohr magnetons per cell; density of states at the Fermi level = 14.3 states/eV/cell
1.0
-3.309 3.878 1.905
-6.198 -2.488 -5.701
-3.332 -6.699 7.850
Zn Ir Dy
4 4 12
Cartesian
-5.058 -2.870 0.543
-5.944 0.709 -0.512
-7.782 -2.439 3.512
-6.895 -6.019 4.566
-3.755 -0.265 4.265
-9.084 -5.044 -0.211
-6.817 -2.399 -4.482
-6.022 -2.910 8.536
-10.053 -4.652 4.456
-2.786 -0.657 -0.402
-5.703 -0.452 2.358
-7.504 -3.643 6.361
-8.816 -0.921 -3.225
-4.787 -3.614 3.716
-5.335 -1.666 -2.306
-11.098 -3.549 1.054
-7.136 -4.857 1.696
-4.023 -4.388 7.280
-8.052 -1.695 0.338
-1.741 -1.761 3.000

=====

Dy4ZnIr2 (GGA-PBE, relaxed); E_form = -4.605 eV/f.u.; magnetization = 0.0 Bohr magnetons per cell; density of states at the Fermi level = 6.4 states/eV/cell; ΔE to the lowest computed polymorph = 0.0 meV per atom
1.0
-4.763 0.148 -1.008
-2.543 -4.139 -0.361
-4.061 -1.006 7.275
Dy Ir Zn
4 2 1
Cartesian
-5.094 -2.616 0.149
-3.437 -1.131 4.308
-6.273 -2.381 5.757
-7.930 -3.866 1.598
-8.533 -3.746 4.466
-2.834 -1.251 1.440
0.000 0.000 0.000

=====

Dy3ZnIr3 (GGA-PBE, relaxed); E_form = -5.508 eV/f.u.; magnetization = 0.0 Bohr magnetons per cell; density of states at the Fermi level = 7.6 states/eV/cell
1.0
4.169 0.000 0.000
-2.085 5.087 0.000
0.000 0.000 13.704
Ir Dy Zn
6 6 2
Cartesian
2.085 4.159 12.457
2.085 4.159 8.099
2.085 2.668 10.278
0.000 0.928 5.605
0.000 2.419 3.426
0.000 0.928 1.247
0.000 2.021 8.276
0.000 4.901 10.278
0.000 2.021 12.280
2.085 3.066 1.424
2.085 0.187 3.426
2.085 3.066 5.428
2.085 0.000 6.852
2.085 0.000 0.000

=====

DyZn4Ir (GGA-PBE, relaxed); E_form = -2.518 eV/f.u.; magnetization = 0.0 Bohr magnetons per cell
1.0
-1.910 2.276 4.158
-1.814 -2.825 3.853
2.543 -0.217 4.428
Zn Dy Ir
4 1 1
Cartesian
-2.022 -0.370 5.555
0.223 -1.627 5.691
0.175 0.945 5.845
-0.740 -0.479 7.788
-0.295 -0.191 3.110
0.000 0.000 0.000

=====

DyZr3Ir2 (GGA-PBE, relaxed); E_form = -4.173 eV/f.u.; magnetization = 0.0 Bohr magnetons per cell; density of states at the Fermi level = 11.5 states/eV/cell
1.0
-0.444 -1.685 4.191
-0.635 -6.319 -2.608
8.210 -1.015 0.461
Zr Dy Ir
6 2 4
Cartesian
7.275 -4.034 -0.851
6.549 -2.627 2.095
2.449 -2.554 -0.768
4.997 -6.068 -1.911
0.711 -5.104 0.481
-0.004 -6.332 -2.546
3.282 -1.343 2.265
4.154 -4.650 1.028
0.900 -2.612 1.503
5.325 -2.224 -0.330
6.225 -6.469 0.516
2.257 -5.044 -1.789

=====

DyZr2Ir (GGA-PBE, relaxed); E_form = -0.845 eV/f.u.; magnetization = 0.0 Bohr magnetons per cell; density of states at the Fermi level = 4.7 states/eV/cell
1.0
4.869 0.000 0.000
2.434 4.216 0.000
2.434 1.405 3.977
Ir Zr Dy
1 2 1
Cartesian
0.000 0.000 0.000
2.434 1.405 0.993
7.303 4.216 2.983
4.869 2.811 1.988

=====

Dy4ZrIr3 (GGA-PBE, relaxed); E_form = -6.000 eV/f.u.; magnetization = 0.0 Bohr magnetons per cell; density of states at the Fermi level = 14.2 states/eV/cell
1.0
5.633 0.000 1.995
2.817 7.741 0.997
0.233 0.000 8.294
Dy Zr Ir
8 2 6
Cartesian
5.295 5.466 2.949
2.057 1.012 3.142
3.387 5.466 8.338
3.387 2.275 8.338
0.992 1.012 6.150
7.690 6.729 5.137
6.625 6.729 8.145
5.295 2.275 2.949
2.933 3.870 5.145
5.749 3.870 6.142
4.341 6.187 5.643
2.298 3.870 2.462
1.408 0.000 0.499
4.225 0.000 1.496
6.384 3.870 8.825
4.341 1.553 5.643

=====

DyZr2Ir9 (GGA-PBE, relaxed); E_form = -6.568 eV/f.u.; magnetization = 0.0 Bohr magnetons per cell; density of states at the Fermi level = 11.6 states/eV/cell
1.0
-2.382 -3.944 2.506
2.848 -3.859 2.124
0.626 1.844 8.987
Ir Zr Dy
9 2 1
Cartesian
1.785 -4.714 5.256
-0.848 -4.757 5.448
0.311 -5.194 3.099
0.546 -2.979 6.808
-0.693 -1.245 8.361
1.940 -1.202 8.168
0.741 -3.187 9.430
0.781 -0.765 10.517
0.351 -2.772 4.186
0.430 -0.006 5.889
0.661 -5.953 7.727
0.000 0.000 0.000

=====

Dy4ZrIr5 (GGA-PBE, relaxed); E_form = -8.135 eV/f.u.; magnetization = 0.0 Bohr magnetons per cell; density of states at the Fermi level = 5.3 states/eV/cell
1.0
-1.801 -0.053 -2.827
2.436 -1.730 -1.519
-7.525 -15.055 5.076
Dy Ir Zr
4 5 1
Cartesian
-2.999 -6.000 2.023
-4.526 -9.055 3.053
-6.049 -12.102 4.081
-1.476 -2.952 0.996
-1.908 -5.345 -0.672
-3.445 -8.419 0.365
-6.542 -14.615 2.454
-0.348 -2.223 -1.724
-4.981 -11.493 1.401
0.000 0.000 0.000

=====

Dy3ZrIr8 (GGA-PBE, relaxed); E_form = -9.260 eV/f.u.; magnetization = 0.0 Bohr magnetons per cell; density of states at the Fermi level = 5.3 states/eV/cell
1.0
5.105 0.000 1.541
2.320 4.547 1.541
-0.001 0.000 9.229
Ir Dy Zr
8 3 1
Cartesian
3.246 1.988 3.111
5.785 1.988 3.877
4.400 4.250 3.877
6.964 4.265 9.203
5.104 3.126 10.771
1.392 0.852 4.617
5.809 2.001 8.436
4.422 4.265 8.436
2.783 1.704 9.234
7.423 4.546 3.090
3.714 2.275 6.149
6.499 3.980 6.150

=====

DyZrIr4 (GGA-PBE, relaxed); E_form = -4.368 eV/f.u.; magnetization = 0.0 Bohr magnetons per cell; density of states at the Fermi level = 3.2 states/eV/cell
1.0
-2.724 -4.062 2.055
-2.979 -3.059 -3.148
1.489 -4.986 -1.034
Zr Dy Ir
1 1 4
Cartesian
-1.053 -3.027 -0.532
0.000 0.000 0.000
-2.634 -7.569 -1.330
-1.142 -6.037 0.247
-3.380 -5.073 -0.812
-1.270 -5.535 -2.359

=====

Dy3ZrIr4 (GGA-PBE, relaxed); E_form = -6.491 eV/f.u.; magnetization = 0.0 Bohr magnetons per cell; density of states at the Fermi level = 2.7 states/eV/cell
1.0
3.256 0.000 0.000
0.000 4.899 0.000
0.000 0.000 9.848
Dy Ir Zr
3 4 1
Cartesian
1.628 0.000 7.387
1.628 2.450 4.924
1.628 0.000 2.461
0.000 0.000 4.924
0.000 2.450 2.276
0.000 0.000 0.000
0.000 2.450 7.572
1.628 2.450 0.000

=====

Dy2Zr5Ir3 (GGA-PBE, relaxed); E_form = -6.191 eV/f.u.; magnetization = 0.0 Bohr magnetons per cell; density of states at the Fermi level = 20.9 states/eV/cell
1.0
4.504 0.000 -0.767
0.000 7.006 0.000
0.055 0.000 13.923
Ir Zr Dy
6 10 4
Cartesian
0.218 6.767 1.281
2.730 3.407 2.421
1.829 6.911 10.735
3.507 5.257 6.988
1.051 1.754 6.168
4.340 3.263 11.874
1.855 2.649 10.888
3.193 3.219 5.142
2.703 6.152 2.268
1.349 3.743 7.920
3.209 0.240 5.236
0.588 1.570 3.449
1.365 6.722 8.014
4.311 0.578 11.705
3.971 5.074 9.706
0.247 4.081 1.451
2.355 1.681 0.219
3.761 1.710 8.475
0.797 5.213 4.681
2.204 5.185 12.936

=====

KDy4 (GGA-PBE, relaxed); E_form = 5.272 eV/f.u.; magnetization = 0.0 Bohr magnetons per cell; density of states at the Fermi level = 5.1 states/eV/cell
1.0
5.530 0.000 0.000
0.000 5.530 0.000
0.000 0.000 5.530
K Dy
1 4
Cartesian
2.765 2.765 2.765
2.765 0.000 2.765
2.765 2.765 0.000
0.000 0.000 0.000
0.000 2.765 2.765

=====

K4Dy (GGA-PBE, relaxed); E_form = 3.636 eV/f.u.; magnetization = 2.7 Bohr magnetons per cell; density of states at the Fermi level = 12.7 states/eV/cell
1.0
-0.623 7.387 -0.468
-0.820 -0.535 -7.363
-7.356 -0.566 0.860
K Dy
4 1
Cartesian
0.000 0.000 0.000
-4.088 -0.551 -3.251
-0.722 3.426 -3.915
-3.990 3.410 0.196
-4.400 3.143 -3.485

=====

K2LaDyO4 (GGA-PBE, relaxed); E_form (uncorrected) = -2701 meV/atom; magnetization = 0.0 Bohr magnetons per cell; density of states at the Fermi level = 0.0 states/eV/cell
1.0
3.604 0.000 0.000
0.000 6.248 0.105
0.000 -2.189 6.244
O K Dy La
4 2 1 1
Cartesian
0.000 -0.171 5.093
0.000 4.230 1.257
1.802 3.104 5.159
1.802 0.955 1.191
0.000 2.030 3.175
1.802 -1.095 3.122
0.000 0.000 0.000
1.802 3.124 0.053

=====

K3La2DyO6 (GGA-PBE, relaxed); E_form (uncorrected) = -2691 meV/atom; magnetization = 0.0 Bohr magnetons per cell; density of states at the Fermi level = 0.0 states/eV/cell
1.0
-2.711 -1.937 5.364
6.261 -0.424 -0.709
-0.517 6.552 0.869
La Dy K O
2 1 3 6
Cartesian
3.271 -0.928 1.315
0.278 -1.433 3.341
0.000 0.000 0.000
4.539 2.605 0.717
1.516 2.096 2.763
-1.506 1.586 4.808
2.125 0.955 0.231
-0.740 0.472 2.171
0.492 4.712 1.902
3.773 3.719 3.355
2.541 -0.521 3.624
0.908 3.236 5.294

=====

K4La3DyO8 (GGA-PBE, relaxed); E_form (uncorrected) = -2679 meV/atom; magnetization = 0.0 Bohr magnetons per cell; density of states at the Fermi level = 0.0 states/eV/cell
1.0
-5.614 0.890 4.637
1.511 -6.741 3.123
5.324 5.035 -0.323
O K La Dy
8 4 3 1
Cartesian
2.165 -2.194 3.043
-3.704 -1.233 4.562
-0.944 1.378 4.394
2.015 0.878 5.279
-0.794 -1.694 2.158
4.926 0.417 2.875
-0.602 -1.689 5.397
1.824 0.873 2.040
0.000 0.000 0.000
2.662 2.518 -0.161
-0.145 2.963 2.157
-2.807 0.445 2.318
0.611 -0.408 3.718
-2.051 -2.926 3.880
3.417 -0.853 1.400
0.756 -3.370 1.562

=====

KLaDySbO6 (GGA-PBE, relaxed); E_form (uncorrected) = -2479 meV/atom; magnetization = 0.0 Bohr magnetons per cell; density of states at the Fermi level = 0.0 states/eV/cell
1.0
0.000 4.184 4.184
4.184 0.000 4.184
4.184 4.184 0.000
O Dy K Sb La
6 1 1 1 1
Cartesian
4.184 4.184 2.196
2.196 4.184 4.184
4.184 6.171 4.184
4.184 4.184 6.171
4.184 2.196 4.184
6.171 4.184 4.184
0.000 0.000 0.000
6.276 6.276 6.276
4.184 4.184 4.184
2.092 2.092 2.092